(1)
The following is a PBE-GGA calculation of a geometry-optimized LiLaAlAu structure, from Alexandria. Values from VASP.

Computed properties:
DOS(E_F)   0.45 states/eV per cell
DFT total energy   -3.98 eV per atom
Crystal system   cubic
DFT formation energy   -0.518 eV/atom
Total magnetic moment   0.0 μB/f.u.

```
&SYSTEM
  ibrav = 0, nat = 4, ntyp = 4
/
ATOMIC_SPECIES
Li 6.94 Li.upf
Au 196.97 Au.upf
Al 26.98 Al.upf
La 138.91 La.upf
CELL_PARAMETERS angstrom
-2.737 0.347 4.086
1.827 -1.502 4.326
1.157 3.307 3.469
ATOMIC_POSITIONS crystal
Li 0.750 0.750 0.750
Au 0.250 0.250 0.250
Al 0.000 0.000 0.000
La 0.500 0.500 0.500
```

---

(2)
The following is a PBE-GGA calculation of a geometry-optimized LiLa2AlAu6 structure, from Alexandria. Values from VASP.

Computed properties:
DOS(E_F)   5.63 states/eV per cell
DFT total energy   -4.08 eV per atom
Crystal system   triclinic
DFT formation energy   -0.565 eV/atom
Total magnetic moment   0.0 μB/f.u.

```
&SYSTEM
  ibrav = 0, nat = 10, ntyp = 4
/
ATOMIC_SPECIES
Li 6.94 Li.upf
La 138.91 La.upf
Al 26.98 Al.upf
Au 196.97 Au.upf
CELL_PARAMETERS angstrom
6.797 -0.038 0.035
-0.036 6.742 0.227
3.410 3.461 4.952
ATOMIC_POSITIONS crystal
Li 0.500 0.500 0.000
La 0.297 0.886 0.405
La 0.703 0.114 0.595
Al 0.000 0.000 0.000
Au 0.175 0.665 0.166
Au 0.839 0.663 0.991
Au 0.341 0.337 0.489
Au 0.825 0.335 0.834
Au 0.161 0.337 0.009
Au 0.659 0.663 0.511
```